1.
! BTeSN2 (PBE-GGA, relaxed); values from VASP
! **Formation energy without anion corrections**: 2163 meV per atom
! **Total energy**: -3.956 eV per atom
! **ΔE to the lowest computed polymorph**: 0.6820 eV/atom
! **Symmetry**: P4/mmm, No. 123
! **Density**: 4.10 g/cm3
&SYSTEM
  ibrav = 0, nat = 5, ntyp = 4
/
ATOMIC_SPECIES
B 10.81 B.upf
Te 127.60 Te.upf
S 32.06 S.upf
N 14.01 N.upf
ATOMIC_POSITIONS crystal
B 0.000 0.000 0.000
Te 0.500 0.500 0.500
S 0.500 0.500 0.000
N 0.000 0.500 0.500
N 0.500 0.000 0.500
CELL_PARAMETERS angstrom
3.882 0.000 0.000
0.000 3.882 0.000
0.000 0.000 5.331

2.
! Ac6Co2AuCl3 (PBE-GGA, relaxed); values from VASP
! **Formation energy without anion corrections**: -950 meV per atom
! **Total energy**: -4.923 eV per atom
! **Symmetry**: C2/m, No. 12
! **Density**: 7.62 g/cm3
&SYSTEM
  ibrav = 0, nat = 12, ntyp = 4
/
ATOMIC_SPECIES
Ac 227.00 Ac.upf
Co 58.93 Co.upf
Au 196.97 Au.upf
Cl 35.45 Cl.upf
ATOMIC_POSITIONS crystal
Ac 0.021 0.021 0.248
Ac 0.318 0.318 0.443
Ac 0.336 0.336 0.877
Ac 0.664 0.664 0.123
Ac 0.682 0.682 0.557
Ac 0.979 0.979 0.752
Co 0.168 0.168 0.337
Co 0.832 0.832 0.663
Au 0.500 0.500 0.000
Cl 0.171 0.171 0.844
Cl 0.500 0.500 0.500
Cl 0.829 0.829 0.156
CELL_PARAMETERS angstrom
10.171 -2.154 0.000
10.171 2.154 0.000
-3.070 0.000 8.864